Material: ErScPt4
Method: DFT, PBE-GGA
State: optimized geometry

Density of states at the Fermi level ... 3.52 states/eV/f.u.
SG ... F-43m
Formation energy from the elements ... -1046.5 meV/atom
Relative energy among the computed polymorphs ... 0 meV/atom
Spin magnetization ... 0.00 μB/atom

```
ErScPt4
1.0
0.0000 3.7964 3.7964
3.7964 0.0000 3.7964
3.7964 3.7964 0.0000
Er Sc Pt
1 1 4
direct
0.0000 0.0000 0.0000
0.7500 0.7500 0.7500
0.3751 0.3751 0.3751
0.3751 0.3751 0.8746
0.3751 0.8746 0.3751
0.8746 0.3751 0.3751
```